Record 1
## Ti3AgSb (meta-GGA SCAN)

Data for a crystal of Ti3AgSb relaxed with PBEsol.

Unit cell a=4.926 b=4.926 c=4.926 alpha=90.00 beta=90.00 gamma=90.00
Space group Pm-3m (No. 221)
Asymmetric unit:
Ti 0.000 0.000 0.500 (multiplicity 3)
Ag 0.500 0.500 0.500 (multiplicity 1)
Sb 0.000 0.000 0.000 (multiplicity 1)

**Calculated total energy**: -22.409 eV/atom
**Formation energy from raw total energies**: 0.935 eV/atom
**Crystal system**: cubic

---

Record 2
## IrBr (meta-GGA SCAN)

Data for a crystal of IrBr relaxed with PBEsol.

Unit cell a=2.731 b=3.642 c=8.640 alpha=90.00 beta=98.91 gamma=90.00
Space group P2_1/m (No. 11)
Asymmetric unit:
Ir 0.045 0.250 0.092 (multiplicity 2)
Br 0.154 0.750 0.315 (multiplicity 2)

**Calculated total energy**: -44.796 eV/atom
**Formation energy from raw total energies**: 0.483 eV/atom
**Crystal system**: monoclinic
**Polymorph energy (0 for the lowest one)**: 0 meV per atom

---

Record 3
## Ni2HgW (meta-GGA SCAN)

Data for a crystal of Ni2HgW relaxed with PBEsol.

Unit cell a=2.847 b=4.266 c=4.711 alpha=90.00 beta=90.00 gamma=90.00
Space group Pmmm (No. 47)
Asymmetric unit:
Ni 0.000 0.000 0.000 (multiplicity 1)
Ni 0.500 0.000 0.500 (multiplicity 1)
Hg 0.000 0.500 0.500 (multiplicity 1)
W 0.500 0.500 0.000 (multiplicity 1)

**Calculated total energy**: -41.851 eV/atom
**Crystal system**: orthorhombic
**DFT formation energy**: 0.699 eV per atom

---

Record 4
## ReAg2Cl (meta-GGA SCAN)

Data for a crystal of ReAg2Cl relaxed with PBEsol.

Unit cell a=4.133 b=4.133 c=7.840 alpha=90.00 beta=90.00 gamma=90.00
Space group I-4m2 (No. 119)
Asymmetric unit:
Re 0.000 0.000 0.000 (multiplicity 2)
Ag 0.000 0.000 0.500 (multiplicity 2)
Ag 0.000 0.500 0.250 (multiplicity 2)
Cl 0.000 0.500 0.750 (multiplicity 2)

**Calculated total energy**: -34.241 eV/atom
**Formation energy from raw total energies**: 1.212 eV/atom
**Crystal system**: tetragonal
**Polymorph energy (0 for the lowest one)**: 814 meV per atom

---

Record 5
## FeNi2Ir (meta-GGA SCAN)

Data for a crystal of FeNi2Ir relaxed with PBEsol.

Unit cell a=8.379 b=2.580 c=4.382 alpha=90.00 beta=100.64 gamma=90.00
Space group Cm (No. 8)
Asymmetric unit:
Fe 0.000 0.000 0.000 (multiplicity 2)
Ni 0.247 0.500 0.244 (multiplicity 2)
Ni 0.498 0.000 0.486 (multiplicity 2)
Ir 0.248 0.000 0.742 (multiplicity 2)

**Calculated total energy**: -30.479 eV/atom
**Crystal system**: monoclinic
**DFT formation energy**: -0.085 eV per atom

---

Record 6
## TlTc2P (meta-GGA SCAN)

Data for a crystal of TlTc2P relaxed with PBEsol.

Unit cell a=3.002 b=3.606 c=5.933 alpha=90.00 beta=102.53 gamma=90.00
Space group P2/m (No. 10)
Asymmetric unit:
Tl 0.000 0.000 0.000 (multiplicity 1)
Tc 0.346 0.500 0.702 (multiplicity 2)
P 0.000 0.000 0.500 (multiplicity 1)

**Calculated total energy**: -37.995 eV/atom
**Crystal system**: monoclinic
**Polymorph energy (0 for the lowest one)**: 0 meV per atom
**DFT formation energy**: 0.224 eV per atom

---

Record 7
## Zn2InP (meta-GGA SCAN)

Data for a crystal of Zn2InP relaxed with PBEsol.

Unit cell a=4.192 b=4.192 c=3.940 alpha=90.00 beta=90.00 gamma=90.00
Space group P4/mmm (No. 123)
Asymmetric unit:
Zn 0.000 0.500 0.000 (multiplicity 2)
In 0.000 0.000 0.500 (multiplicity 1)
P 0.500 0.500 0.500 (multiplicity 1)

**Calculated total energy**: -17.353 eV/atom
**Crystal system**: tetragonal
**DFT formation energy**: 0.350 eV per atom

---

Record 8
## AlTlRh (meta-GGA SCAN)

Data for a crystal of AlTlRh relaxed with PBEsol.

Unit cell a=3.284 b=3.284 c=9.540 alpha=90.00 beta=90.00 gamma=90.00
Space group I4mm (No. 107)
Asymmetric unit:
Al 0.000 0.000 0.000 (multiplicity 2)
Tl 0.000 0.000 0.705 (multiplicity 2)
Rh 0.000 0.000 0.401 (multiplicity 2)

**Calculated total energy**: -38.270 eV/atom
**Crystal system**: tetragonal
**Polymorph energy (0 for the lowest one)**: 0 meV per atom
**DFT formation energy**: -0.309 eV per atom